The following is a DFT calculation (PBE) of Be2SbSe after structural relaxation.

a = 4.495 Å, b = 4.495 Å, c = 3.381 Å
α = 90.00°, β = 90.00°, γ = 99.23°
Fractional coordinates of all 4 atoms:
Se1 0.000 0.500 0.500
Be1 0.000 0.000 0.000
Sb1 0.500 0.000 0.500
Be2 0.500 0.500 0.000

Results
* ΔE_f (raw): 644 meV per atom
* Fermi-level density of states: 1.7 states/eV/cell
* total energy: -3.1206 eV per atom